Nd3Zr3Te2Pd after structural relaxation. Source: the Open Quantum Materials Database, functional PBE.

```
9
Lattice="-5.322 -6.224 -2.014 8.236 -0.804 -1.625 0.520 -1.544 3.398" Properties=species:S:1:pos:R:3 pbc="T T T"
Nd 6.395 -1.371 0.489
Zr -2.203 -2.576 -0.834
Nd -3.704 -5.408 0.199
Te -0.543 -5.189 -0.185
Te 3.976 -3.382 -0.055
Nd 1.003 -2.565 0.771
Zr 3.409 -0.333 -0.672
Pd 0.000 0.000 0.000
Zr 1.708 -4.119 -2.132
```

Properties
Theoretical density in g cm⁻³: 7.64
Electronic total energy in eV/atom: -6.188
Crystal system: hexagonal